Compound: Cd2PbBr
Source: Alexandria via LeMat-Bulk
Functional: PBEsol
Structure: optimized geometry

It has space group Cmm2 (No. 35), with a = 4.5103 Å, b = 5.2896 Å, c = 8.4265 Å, α = 90.00°, β = 90.00° and γ = 90.00°. Symmetry generates all atoms from Cd at (0.0000, 0.0000, 0.0000), Cd at (0.0000, 0.5000, 0.2191), Pb at (0.0000, 0.0000, 0.4781) and Br at (0.0000, 0.5000, 0.7641).

The value obtained for the formation energy from raw total energies is -0.11 eV/atom. The energy above the lowest structure with this stoichiometry comes out at 0 meV/atom. As for the crystal system: orthorhombic.

Compound: BaZnCd2
Source: Alexandria via LeMat-Bulk
Functional: PBEsol
Structure: optimized geometry

It has space group C2/m (No. 12), with a = 6.2042 Å, b = 11.4596 Å, c = 3.3875 Å, α = 90.00°, β = 116.11° and γ = 90.00°. Symmetry generates all atoms from Ba at (0.0000, 0.0000, 0.0000), Zn at (0.0000, 0.5000, 0.0000) and Cd at (0.2500, 0.2500, 0.5000).

As for the crystal system: monoclinic.

Compound: ErCrGeO5
Source: Alexandria via LeMat-Bulk
Functional: PBEsol
Structure: optimized geometry

It has space group Pbam (No. 55), with a = 7.2108 Å, b = 8.3482 Å, c = 5.7050 Å, α = 90.00°, β = 90.00° and γ = 90.00°. Symmetry generates all atoms from Er at (0.1412, 0.1738, 0.0000), Cr at (0.0000, 0.5000, 0.2483), Ge at (0.1141, 0.8535, 0.5000), O at (0.0000, 0.0000, 0.2847), O at (0.1096, 0.7158, 0.2467), O at (0.1556, 0.4212, 0.5000) and O at (0.1717, 0.4431, 0.0000).

The value obtained for the formation energy from raw total energies is -2.45 eV/atom. As for the crystal system: orthorhombic.

Compound: ZrMoBr4
Source: Alexandria via LeMat-Bulk
Functional: PBEsol
Structure: optimized geometry

It has space group F-43m (No. 216), with a = 8.3493 Å, b = 8.3493 Å, c = 8.3493 Å, α = 90.00°, β = 90.00° and γ = 90.00°. Symmetry generates all atoms from Zr at (0.0000, 0.0000, 0.0000), Mo at (0.2500, 0.2500, 0.7500) and Br at (0.1251, 0.1251, 0.3749).

The value obtained for the formation energy from raw total energies is 1.20 eV/atom. As for the crystal system: cubic.

Compound: AlSnF5
Source: Alexandria via LeMat-Bulk
Functional: PBEsol
Structure: optimized geometry

It has space group Immm (No. 71), with a = 3.7302 Å, b = 6.8004 Å, c = 8.1591 Å, α = 90.00°, β = 90.00° and γ = 90.00°. Symmetry generates all atoms from Al at (0.0000, 0.0000, 0.0000), Sn at (0.0000, 0.0000, 0.5000), F at (0.0000, 0.0000, 0.2179), F at (0.0000, 0.2697, 0.0000) and F at (0.0000, 0.5000, 0.5000).

The value obtained for the formation energy from raw total energies is -2.96 eV/atom. As for the crystal system: orthorhombic.

Compound: Tc2NiPb
Source: Alexandria via LeMat-Bulk
Functional: PBEsol
Structure: optimized geometry

It has space group P4/mmm (No. 123), with a = 3.7510 Å, b = 3.7510 Å, c = 4.2995 Å, α = 90.00°, β = 90.00° and γ = 90.00°. Symmetry generates all atoms from Tc at (0.0000, 0.5000, 0.0000), Ni at (0.0000, 0.0000, 0.5000) and Pb at (0.5000, 0.5000, 0.5000).

As for the crystal system: tetragonal.

Compound: InCu2Sb
Source: Alexandria via LeMat-Bulk
Functional: PBEsol
Structure: optimized geometry

It has space group Imm2 (No. 44), with a = 3.0078 Å, b = 4.2235 Å, c = 11.6016 Å, α = 90.00°, β = 90.00° and γ = 90.00°. Symmetry generates all atoms from In at (0.0000, 0.0000, 0.0000), Cu at (0.0000, 0.0000, 0.5348), Cu at (0.0000, 0.5000, 0.8464) and Sb at (0.0000, 0.5000, 0.2383).

The value obtained for the formation energy from raw total energies is 0.15 eV/atom. As for the crystal system: orthorhombic.

Compound: Ca2ZrSi
Source: Alexandria via LeMat-Bulk
Functional: PBEsol
Structure: optimized geometry

It has space group I-4m2 (No. 119), with a = 4.5216 Å, b = 4.5216 Å, c = 8.9684 Å, α = 90.00°, β = 90.00° and γ = 90.00°. Symmetry generates all atoms from Ca at (0.0000, 0.0000, 0.0000), Ca at (0.0000, 0.5000, 0.2500), Zr at (0.0000, 0.5000, 0.7500) and Si at (0.0000, 0.0000, 0.5000).

The value obtained for the formation energy from raw total energies is 0.11 eV/atom. As for the crystal system: tetragonal.

Compound: Li2As
Source: Alexandria via LeMat-Bulk
Functional: PBEsol
Structure: optimized geometry

It has space group P4/mmm (No. 123), with a = 4.3735 Å, b = 4.3735 Å, c = 2.9088 Å, α = 90.00°, β = 90.00° and γ = 90.00°. Symmetry generates all atoms from Li at (0.0000, 0.5000, 0.0000) and As at (0.0000, 0.0000, 0.5000).

The energy above the lowest structure with this stoichiometry comes out at 113 meV/atom. As for the crystal system: tetragonal.

Compound: Y2AgPb2
Source: Alexandria via LeMat-Bulk
Functional: PBEsol
Structure: optimized geometry

It has space group P4/mbm (No. 127), with a = 7.5215 Å, b = 7.5215 Å, c = 4.5510 Å, α = 90.00°, β = 90.00° and γ = 90.00°. Symmetry generates all atoms from Y at (0.1692, 0.3308, 0.0000), Ag at (0.0000, 0.0000, 0.5000) and Pb at (0.1406, 0.6406, 0.5000).

As for the crystal system: tetragonal.

Compound: Sr2SbPb
Source: Alexandria via LeMat-Bulk
Functional: PBEsol
Structure: optimized geometry

It has space group Pmmm (No. 47), with a = 3.9815 Å, b = 4.3398 Å, c = 7.4388 Å, α = 90.00°, β = 90.00° and γ = 90.00°. Symmetry generates all atoms from Sr at (0.0000, 0.0000, 0.2365), Sb at (0.5000, 0.5000, 0.0000) and Pb at (0.5000, 0.5000, 0.5000).

The value obtained for the formation energy from raw total energies is -0.72 eV/atom. The energy above the lowest structure with this stoichiometry comes out at 0 meV/atom. As for the crystal system: orthorhombic.

Compound: KTaCd2
Source: Alexandria via LeMat-Bulk
Functional: PBEsol
Structure: optimized geometry

It has space group P4/mmm (No. 123), with a = 5.5490 Å, b = 5.5490 Å, c = 2.8319 Å, α = 90.00°, β = 90.00° and γ = 90.00°. Symmetry generates all atoms from K at (0.0000, 0.0000, 0.0000), Ta at (0.5000, 0.5000, 0.0000) and Cd at (0.0000, 0.5000, 0.5000).

The energy above the lowest structure with this stoichiometry comes out at 0 meV/atom. As for the crystal system: tetragonal.

Compound: K4SrBr
Source: Alexandria via LeMat-Bulk
Functional: PBEsol
Structure: optimized geometry

It has space group F-43m (No. 216), with a = 11.2380 Å, b = 11.2380 Å, c = 11.2380 Å, α = 90.00°, β = 90.00° and γ = 90.00°. Symmetry generates all atoms from K at (0.1243, 0.1243, 0.3757), Sr at (0.0000, 0.0000, 0.0000) and Br at (0.2500, 0.2500, 0.7500).

The value obtained for the formation energy from raw total energies is -0.11 eV/atom. As for the crystal system: cubic.

Compound: Mg2ZrRu
Source: Alexandria via LeMat-Bulk
Functional: PBEsol
Structure: optimized geometry

It has space group R-3m (No. 166, hexagonal axes), with a = 2.9340 Å, b = 2.9340 Å, c = 29.3059 Å, α = 90.00°, β = 90.00° and γ = 120.00°. Symmetry generates all atoms from Mg at (0.0000, 0.0000, 0.2385), Zr at (0.0000, 0.0000, 0.0000) and Ru at (0.0000, 0.0000, 0.5000).

As for the crystal system: trigonal.

Compound: KInIr3
Source: Alexandria via LeMat-Bulk
Functional: PBEsol
Structure: optimized geometry

It has space group Pm-3m (No. 221), with a = 4.6388 Å, b = 4.6388 Å, c = 4.6388 Å, α = 90.00°, β = 90.00° and γ = 90.00°. Symmetry generates all atoms from K at (0.0000, 0.0000, 0.0000), In at (0.5000, 0.5000, 0.5000) and Ir at (0.0000, 0.0000, 0.5000).

As for the crystal system: cubic.

Compound: La2HCl
Source: Alexandria via LeMat-Bulk
Functional: PBEsol
Structure: optimized geometry

It has space group I-42d (No. 122), with a = 6.9907 Å, b = 6.9907 Å, c = 7.0484 Å, α = 90.00°, β = 90.00° and γ = 90.00°. Symmetry generates all atoms from La at (0.1867, 0.2500, 0.1250), H at (0.0000, 0.0000, 0.0000) and Cl at (0.0000, 0.0000, 0.5000).

As for the crystal system: tetragonal.

Compound: Ba2La2MnW2O12
Source: Alexandria via LeMat-Bulk
Functional: PBEsol
Structure: optimized geometry

It has space group R-3m (No. 166, hexagonal axes), with a = 5.6725 Å, b = 5.6725 Å, c = 27.2023 Å, α = 90.00°, β = 90.00° and γ = 120.00°. Symmetry generates all atoms from Ba at (0.0000, 0.0000, 0.1330), La at (0.0000, 0.0000, 0.2943), Mn at (0.0000, 0.0000, 0.0000), W at (0.0000, 0.0000, 0.4202), O at (0.0029, 0.5014, 0.8821) and O at (0.0264, 0.5132, 0.2953).

The value obtained for the formation energy from raw total energies is -2.70 eV/atom. As for the crystal system: trigonal.

Compound: LiAg2F4
Source: Alexandria via LeMat-Bulk
Functional: PBEsol
Structure: optimized geometry

It has space group P2_1/c (No. 14), with a = 6.1977 Å, b = 6.7775 Å, c = 10.6070 Å, α = 90.00°, β = 120.43° and γ = 90.00°. Symmetry generates all atoms from Li at (0.2024, 0.2091, 0.0549), Ag at (0.0287, 0.5542, 0.7595), Ag at (0.3565, 0.6844, 0.0500), F at (0.0826, 0.6794, 0.1192), F at (0.2203, 0.2133, 0.2357), F at (0.2389, 0.5285, 0.4837) and F at (0.4547, 0.1194, 0.5772).

The value obtained for the formation energy from raw total energies is -1.54 eV/atom. The energy above the lowest structure with this stoichiometry comes out at 14 meV/atom. As for the crystal system: monoclinic.

Compound: LaCu2Ru
Source: Alexandria via LeMat-Bulk
Functional: PBEsol
Structure: optimized geometry

It has space group I-4m2 (No. 119), with a = 4.0957 Å, b = 4.0957 Å, c = 7.8139 Å, α = 90.00°, β = 90.00° and γ = 90.00°. Symmetry generates all atoms from La at (0.0000, 0.0000, 0.0000), Cu at (0.0000, 0.0000, 0.5000), Cu at (0.0000, 0.5000, 0.7500) and Ru at (0.0000, 0.5000, 0.2500).

As for the crystal system: tetragonal.

Compound: Mo2WS6
Source: Alexandria via LeMat-Bulk
Functional: PBEsol
Structure: optimized geometry

It has space group P-6m2 (No. 187), with a = 3.1390 Å, b = 3.1390 Å, c = 19.2737 Å, α = 90.00°, β = 90.00° and γ = 120.00°. Symmetry generates all atoms from Mo at (0.0000, 0.0000, 0.1793), W at (0.6667, 0.3333, 0.5000), S at (0.0000, 0.0000, 0.4185), S at (0.6667, 0.3333, 0.0986) and S at (0.6667, 0.3333, 0.2601).

The value obtained for the formation energy from raw total energies is -0.94 eV/atom. As for the crystal system: hexagonal.

Compound: SrTe2AsPd
Source: Alexandria via LeMat-Bulk
Functional: PBEsol
Structure: optimized geometry

It has space group P4/mmm (No. 123), with a = 5.8849 Å, b = 5.8849 Å, c = 5.4766 Å, α = 90.00°, β = 90.00° and γ = 90.00°. Symmetry generates all atoms from Sr at (0.0000, 0.0000, 0.0000), Te at (0.0000, 0.5000, 0.0000), As at (0.0000, 0.0000, 0.5000) and Pd at (0.5000, 0.5000, 0.5000).

The value obtained for the formation energy from raw total energies is 1.02 eV/atom. As for the crystal system: tetragonal.

Compound: Sc3Re2Si4
Source: Alexandria via LeMat-Bulk
Functional: PBEsol
Structure: optimized geometry

It has space group C2/c (No. 15), with a = 19.4205 Å, b = 5.3064 Å, c = 13.5734 Å, α = 90.00°, β = 125.20° and γ = 90.00°. Symmetry generates all atoms from Sc at (0.0827, 0.1143, 0.1592), Sc at (0.1151, 0.1383, 0.4539), Sc at (0.1640, 0.3709, 0.8615), Re at (0.0254, 0.3856, 0.9240), Re at (0.2360, 0.0926, 0.7175), Si at (0.0000, 0.1374, 0.7500), Si at (0.0000, 0.3885, 0.2500), Si at (0.1164, 0.3890, 0.6267), Si at (0.1748, 0.2745, 0.0714) and Si at (0.2279, 0.1224, 0.3924).

The value obtained for the formation energy from raw total energies is -0.78 eV/atom. As for the crystal system: monoclinic.

Compound: TaMoC2
Source: Alexandria via LeMat-Bulk
Functional: PBEsol
Structure: optimized geometry

It has space group F-43m (No. 216), with a = 5.7307 Å, b = 5.7307 Å, c = 5.7307 Å, α = 90.00°, β = 90.00° and γ = 90.00°. Symmetry generates all atoms from Ta at (0.0000, 0.0000, 0.0000), Mo at (0.2500, 0.2500, 0.2500), C at (0.0000, 0.0000, 0.5000) and C at (0.2500, 0.2500, 0.7500).

The energy above the lowest structure with this stoichiometry comes out at 1949 meV/atom. As for the crystal system: cubic.

Calculated values (Å³/atom) of V for the records, taken in order: 25.1 27.0 10.7 24.3 14.8 15.1 18.4 22.9 18.5 25.7 32.1 21.8 59.1 18.2 20.0 21.5 13.3 13.7 16.4 18.3 37.9 15.9 11.8.
Calculated values (Bohr magnetons per cell) of M_tot for the records, taken in order: 0.0 0.0 12.0 16.7 0.0 0.0 0.0 1.2 0.0 0.0 0.0 0.0 0.0 0.0 0.4 0.0 15.1 0.0 0.0 0.0 0.0 0.0 0.0.
Calculated values (eV/atom) of final energy for the records, taken in order: -2.1798 -1.4016 -8.2446 -3.5276 -5.5328 -7.5901 -3.9057 -4.6694 -3.5510 -5.4089 -3.7765 -3.5145 -1.4799 -5.4882 -3.8187 -4.8095 -8.7675 -3.8719 -5.8362 -8.0134 -2.9712 -8.5007 -8.8404.